VASP calculation (PBE) on crystalline Tb8Te3As3P at its relaxed geometry.

Output
* total magnetization: 0.0 μB/f.u.
* calculated total energy: -259.662 eV per cell
* uncorrected formation energy: -133.33 kJ per mole of atoms

a b c (Å): 8.3358 8.3358 21.1247
angles (deg): 90.00 90.00 120.00
Last column: nearest neighbours and their distance in Å.
Space group R-3m (No. 166, hexagonal axes)
Asymmetric unit:
Tb  0.0000  0.0000  0.2390 (multiplicity 6)  3 As 2.85, 3 Te 3.12
Tb  0.0050  0.5025  0.2395 (multiplicity 18)  1 P 2.83, 2 As 2.87, 2 Te 3.10
Te  0.0000  0.5000  0.0000 (multiplicity 9)  6 Tb 3.10-3.12
As  0.0000  0.5000  0.5000 (multiplicity 9)  6 Tb 2.85-2.87
P  0.0000  0.0000  0.5000 (multiplicity 3)  6 Tb 2.83

VASP calculation (PBE) on crystalline TbThAsP at its relaxed geometry.

Output
* total magnetization: 0.0 μB/f.u.
* calculated total energy: -28.135 eV per cell
* formation energy from the elements: -6.0 eV/f.u.

a b c (Å): 4.1686 4.1686 5.8370
angles (deg): 90.00 90.00 90.00
Last column: nearest neighbours and their distance in Å.
Space group P4/mmm (No. 123)
Asymmetric unit:
Tb  0.0000  0.0000  0.0000 (multiplicity 1)  2 As 2.92, 4 P 2.95
Th  0.5000  0.5000  0.5000 (multiplicity 1)  2 P 2.92, 4 As 2.95
As  0.0000  0.0000  0.5000 (multiplicity 1)  2 Tb 2.92, 4 Th 2.95
P  0.5000  0.5000  0.0000 (multiplicity 1)  2 Th 2.92, 4 Tb 2.95

VASP calculation (PBE) on crystalline TbTmAsP at its relaxed geometry.

Output
* total magnetization: 0.0 μB/f.u.
* calculated total energy: -25.360 eV per cell
* formation energy from the elements: -6.2 eV/f.u.

a b c (Å): 4.0487 4.0487 5.7166
angles (deg): 90.00 90.00 90.00
Last column: nearest neighbours and their distance in Å.
Space group P4/mmm (No. 123)
Asymmetric unit:
Tb  0.0000  0.0000  0.0000 (multiplicity 1)  2 P 2.86, 4 As 2.86
Tm  0.5000  0.5000  0.5000 (multiplicity 1)  2 As 2.86, 4 P 2.86
As  0.5000  0.5000  0.0000 (multiplicity 1)  2 Tm 2.86, 4 Tb 2.86
P  0.0000  0.0000  0.5000 (multiplicity 1)  2 Tb 2.86, 4 Tm 2.86

VASP calculation (PBE) on crystalline TbZrAsP at its relaxed geometry.

Output
* total magnetization: 0.0 μB/f.u.
* calculated total energy: -85.599 eV per cell
* formation energy from the elements: -5.3 eV/f.u.

a b c (Å): 3.8595 3.8595 20.2869
angles (deg): 90.00 90.00 120.00
Last column: nearest neighbours and their distance in Å.
Space group R3m (No. 160, hexagonal axes)
Asymmetric unit:
Tb  0.0000  0.0000  0.0000 (multiplicity 3)  3 P 2.80, 3 As 2.96
Zr  0.0000  0.0000  0.1801 (multiplicity 3)  3 P 2.64, 3 As 2.80
As  0.0000  0.0000  0.7629 (multiplicity 3)  3 Zr 2.80, 3 Tb 2.96
P  0.0000  0.0000  0.5834 (multiplicity 3)  3 Zr 2.64, 3 Tb 2.80

VASP calculation (PBE) on crystalline Tc2AsP at its relaxed geometry.

Output
* total magnetization: 0.0 μB/f.u.
* calculated total energy: -60.143 eV per cell
* formation energy from the elements: 0.7 eV/f.u.

a b c (Å): 3.0044 5.1184 7.7932
angles (deg): 90.00 90.00 90.00
Last column: nearest neighbours and their distance in Å.
Space group Cmmm (No. 65)
Asymmetric unit:
Tc  0.0000  0.0000  0.2318 (multiplicity 4)  2 P 2.35, 2 As 2.57
As  0.0000  0.5000  0.5000 (multiplicity 2)  4 Tc 2.57
P  0.0000  0.5000  0.0000 (multiplicity 2)  4 Tc 2.35

VASP calculation (PBE) on crystalline TcAsP2 at its relaxed geometry.

Output
* total magnetization: 0.0 μB/f.u.
* calculated total energy: -25.837 eV per cell
* formation energy from the elements: 0.0 eV/f.u.

a b c (Å): 3.0292 3.0292 7.1517
angles (deg): 90.00 90.00 90.00
Last column: nearest neighbours and their distance in Å.
Space group P4mm (No. 99)
Asymmetric unit:
Tc  0.0000  0.0000  0.0000 (multiplicity 1)  5 P 2.54, 4 As 2.70
As  0.5000  0.5000  0.2292 (multiplicity 1)  4 Tc 2.70, 1 P 3.01
P  0.0000  0.0000  0.6443 (multiplicity 1)  4 P 2.44, 1 Tc 2.54
P  0.5000  0.5000  0.8087 (multiplicity 1)  4 P 2.44, 4 Tc 2.54

VASP calculation (PBE) on crystalline TcAsP3 at its relaxed geometry.

Output
* total magnetization: 0.0 μB/f.u.
* calculated total energy: -27.914 eV per cell
* formation energy from the elements: 3.3 eV/f.u.

a b c (Å): 4.6016 4.6016 4.6016
angles (deg): 90.00 90.00 90.00
Last column: nearest neighbours and their distance in Å.
Space group Pm-3m (No. 221)
Asymmetric unit:
Tc  0.0000  0.0000  0.0000 (multiplicity 1)  6 P 2.30
As  0.5000  0.5000  0.5000 (multiplicity 1)  12 P 3.25
P  0.0000  0.0000  0.5000 (multiplicity 3)  2 Tc 2.30

VASP calculation (PBE) on crystalline Tc2AsP at its relaxed geometry.

Output
* total magnetization: 0.0 μB/f.u.
* calculated total energy: -63.341 eV per cell
* formation energy from the elements: -0.9 eV/f.u.

a b c (Å): 8.5847 3.0687 4.4824
angles (deg): 90.00 105.81 90.00
Last column: nearest neighbours and their distance in Å.
Space group Cm (No. 8)
Asymmetric unit:
Tc  0.0000  0.0000  0.0000 (multiplicity 2)  3 As 2.43-2.51, 2 P 2.57
Tc  0.2414  0.0000  0.5887 (multiplicity 2)  3 P 2.48, 2 As 2.60
As  0.2401  0.5000  0.1206 (multiplicity 2)  5 Tc 2.43-2.60
P  0.0053  0.5000  0.4637 (multiplicity 2)  5 Tc 2.48-2.57

VASP calculation (PBE) on crystalline Tc2AsP at its relaxed geometry.

Output
* total magnetization: 0.0 μB/f.u.
* calculated total energy: -60.508 eV per cell
* formation energy from the elements: 0.5 eV/f.u.

a b c (Å): 3.0642 4.9122 7.9429
angles (deg): 90.00 90.00 90.00
Last column: nearest neighbours and their distance in Å.
Space group Immm (No. 71)
Asymmetric unit:
Tc  0.0000  0.0000  0.2191 (multiplicity 4)  2 P 2.32
As  0.0000  0.5000  0.0000 (multiplicity 2)  8 Tc 2.71-3.01, 4 P 2.89
P  0.0000  0.5000  0.5000 (multiplicity 2)  4 Tc 2.32

VASP calculation (PBE) on crystalline TcAsP2 at its relaxed geometry.

Output
* total magnetization: 0.0 μB/f.u.
* calculated total energy: -48.269 eV per cell
* formation energy from the elements: 1.7 eV/f.u.

a b c (Å): 3.2955 4.8608 7.5415
angles (deg): 90.00 90.00 90.00
Last column: nearest neighbours and their distance in Å.
Space group Immm (No. 71)
Asymmetric unit:
Tc  0.0000  0.0000  0.0000 (multiplicity 2)  4 P 2.54
As  0.0000  0.0000  0.5000 (multiplicity 2)  4 P 2.47
P  0.0000  0.5000  0.2442 (multiplicity 4)  2 As 2.47, 2 Tc 2.54

VASP calculation (PBE) on crystalline TcAsP at its relaxed geometry.

Output
* total magnetization: 0.3 μB/f.u.
* calculated total energy: -76.364 eV per cell
* formation energy from the elements: 1.3 eV/f.u.

a b c (Å): 5.8492 5.8492 5.8492
angles (deg): 90.00 90.00 90.00
Last column: nearest neighbours and their distance in Å.
Space group F-43m (No. 216)
Asymmetric unit:
Tc  0.0000  0.0000  0.0000 (multiplicity 4)  4 P 2.53
As  0.0000  0.0000  0.5000 (multiplicity 4)  4 P 2.53
P  0.2500  0.2500  0.7500 (multiplicity 4)  4 As 2.53, 4 Tc 2.53

VASP calculation (PBE) on crystalline TcAsP2 at its relaxed geometry.

Output
* total magnetization: 0.0 μB/f.u.
* calculated total energy: -23.838 eV per cell
* formation energy from the elements: 2.0 eV/f.u.

a b c (Å): 3.1057 4.0754 4.7354
angles (deg): 90.00 90.00 90.00
Last column: nearest neighbours and their distance in Å.
Space group Pmmm (No. 47)
Asymmetric unit:
Tc  0.0000  0.0000  0.0000 (multiplicity 1)  4 P 2.56, 4 As 2.83
As  0.5000  0.0000  0.5000 (multiplicity 1)  4 P 2.56, 4 Tc 2.83
P  0.0000  0.5000  0.5000 (multiplicity 1)  4 As 2.56, 4 P 2.83
P  0.5000  0.5000  0.0000 (multiplicity 1)  4 Tc 2.56, 4 P 2.83